Entry 1:
A relaxed structure of La2Dy2HoTm, computed with GGA-PBE.

* space group: Pmc2_1 (26)
* calculated formation energy: 0.4 eV per formula unit

abc: 5.681 9.848 7.057
angles: 90.00 90.00 90.00
Sites, in units of the cell vectors:
La1 0.000 0.000 0.000
La2 0.000 0.000 0.500
La3 0.500 0.179 0.250
La4 0.500 0.821 0.750
Dy1 0.000 0.334 0.250
Dy2 0.000 0.666 0.750
Dy3 0.500 0.167 0.750
Dy4 0.500 0.833 0.250
Ho1 0.000 0.343 0.750
Ho2 0.000 0.657 0.250
Tm1 0.500 0.500 0.000
Tm2 0.500 0.500 0.500


Entry 2:
A relaxed structure of TcSb3S, computed with GGA-PBE.

* space group: Pm-3m (221)
* uncorrected formation energy: 0.469 eV/atom

abc: 5.102 5.102 5.102
angles: 90.00 90.00 90.00
Sites, in units of the cell vectors:
Tc1 0.000 0.000 0.000
Sb1 0.000 0.000 0.500
Sb2 0.000 0.500 0.000
Sb3 0.500 0.000 0.000
S1 0.500 0.500 0.500


Entry 3:
A relaxed structure of LaHgIr2, computed with GGA-PBE.

* space group: C2/m (12)
* calculated formation energy: 0.5 eV per formula unit

abc: 5.606 5.606 3.060
angles: 104.52 104.52 112.80
Sites, in units of the cell vectors:
La1 0.000 0.000 0.000
Hg1 0.500 0.500 0.000
Ir1 0.000 0.500 0.500
Ir2 0.500 0.000 0.500


Entry 4:
A relaxed structure of RbCa3Br, computed with GGA-PBE.

* space group: Pm-3m (221)
* uncorrected formation energy: -0.206 eV/atom

abc: 6.201 6.201 6.201
angles: 90.00 90.00 90.00
Sites, in units of the cell vectors:
Rb1 0.000 0.000 0.000
Ca1 0.000 0.500 0.500
Ca2 0.500 0.000 0.500
Ca3 0.500 0.500 0.000
Br1 0.500 0.500 0.500


Entry 5:
A relaxed structure of ScN3F6, computed with GGA-PBE.

* space group: P4/mnc (128)
* uncorrected formation energy: -0.225 eV/atom

abc: 5.233 5.233 10.163
angles: 90.00 90.00 90.00
Sites, in units of the cell vectors:
Sc1 0.000 0.000 0.000
Sc2 0.500 0.500 0.500
N1 0.000 0.000 0.500
N2 0.000 0.500 0.250
N3 0.000 0.500 0.750
N4 0.500 0.000 0.250
N5 0.500 0.000 0.750
N6 0.500 0.500 0.000
F1 0.000 0.000 0.199
F2 0.000 0.000 0.801
F3 0.167 0.292 0.500
F4 0.208 0.333 0.000
F5 0.292 0.833 0.500
F6 0.333 0.792 0.000
F7 0.500 0.500 0.301
F8 0.500 0.500 0.699
F9 0.667 0.208 0.000
F10 0.708 0.167 0.500
F11 0.792 0.667 0.000
F12 0.833 0.708 0.500


Entry 6:
A relaxed structure of YBeAu3, computed with GGA-PBE.

* space group: Fd-3m (227)
* calculated formation energy: -1.4 eV per formula unit

abc: 8.469 8.469 8.469
angles: 60.00 60.00 60.00
Sites, in units of the cell vectors:
Y1 0.000 0.000 0.000
Y2 0.000 0.000 0.500
Y3 0.000 0.500 0.000
Y4 0.500 0.000 0.000
Be1 0.000 0.500 0.500
Be2 0.500 0.000 0.500
Be3 0.500 0.500 0.000
Be4 0.500 0.500 0.500
Au1 0.173 0.173 0.577
Au2 0.173 0.577 0.173
Au3 0.173 0.577 0.577
Au4 0.423 0.423 0.827
Au5 0.423 0.827 0.423
Au6 0.423 0.827 0.827
Au7 0.577 0.173 0.173
Au8 0.577 0.173 0.577
Au9 0.577 0.577 0.173
Au10 0.827 0.423 0.423
Au11 0.827 0.423 0.827
Au12 0.827 0.827 0.423


Entry 7:
A relaxed structure of KBa2SrBr, computed with GGA-PBE.

* space group: P4/mmm (123)
* uncorrected formation energy: -0.508 eV/atom

abc: 6.660 6.660 6.445
angles: 90.00 90.00 90.00
Sites, in units of the cell vectors:
K1 0.000 0.000 0.000
Ba1 0.000 0.500 0.500
Ba2 0.500 0.000 0.500
Sr1 0.500 0.500 0.000
Br1 0.000 0.000 0.500


Entry 8:
A relaxed structure of Ga2AgBSb, computed with GGA-PBE.

* space group: P4/mmm (123)
* uncorrected formation energy: 1.259 eV/atom

abc: 4.876 4.876 5.510
angles: 90.00 90.00 90.00
Sites, in units of the cell vectors:
Ga1 0.000 0.500 0.000
Ga2 0.500 0.000 0.000
Ag1 0.000 0.000 0.000
B1 0.500 0.500 0.500
Sb1 0.000 0.000 0.500


Entry 9:
A relaxed structure of HoAg3Hg2, computed with GGA-PBE.

* space group: C2/c (15)
* calculated formation energy: -0.9 eV per formula unit

abc: 5.279 5.279 9.652
angles: 101.95 101.95 98.95
Sites, in units of the cell vectors:
Ho1 0.141 0.859 0.750
Ho2 0.859 0.141 0.250
Ag1 0.205 0.434 0.927
Ag2 0.410 0.590 0.250
Ag3 0.434 0.205 0.427
Ag4 0.566 0.795 0.573
Ag5 0.590 0.410 0.750
Ag6 0.795 0.566 0.073
Hg1 0.003 0.283 0.591
Hg2 0.283 0.003 0.091
Hg3 0.717 0.997 0.909
Hg4 0.997 0.717 0.409


Entry 10:
A relaxed structure of Pm3PrYHo, computed with GGA-PBE.

* space group: P2_1/m (11)
* calculated formation energy: 0.1 eV per formula unit

abc: 8.098 5.145 10.267
angles: 90.00 108.55 90.00
Sites, in units of the cell vectors:
Pm1 0.168 0.250 0.042
Pm2 0.169 0.750 0.791
Pm3 0.170 0.250 0.542
Pm4 0.830 0.750 0.458
Pm5 0.831 0.250 0.209
Pm6 0.832 0.750 0.958
Pr1 0.169 0.750 0.293
Pr2 0.831 0.250 0.707
Y1 0.500 0.250 0.875
Y2 0.500 0.750 0.125
Ho1 0.500 0.250 0.375
Ho2 0.500 0.750 0.625


Entry 11:
A relaxed structure of Na3Ac2LaSe6, computed with GGA-PBE.

* space group: C2/m (12)
* uncorrected formation energy: -1.735 eV/atom

abc: 9.782 9.782 8.693
angles: 100.48 100.48 26.45
Sites, in units of the cell vectors:
Na1 0.000 0.000 0.000
Na2 0.335 0.335 0.667
Na3 0.665 0.665 0.333
Ac1 0.334 0.334 0.170
Ac2 0.666 0.666 0.830
La1 0.000 0.000 0.500
Se1 0.162 0.162 0.581
Se2 0.167 0.167 0.080
Se3 0.499 0.499 0.262
Se4 0.501 0.501 0.738
Se5 0.833 0.833 0.920
Se6 0.838 0.838 0.419


Entry 12:
A relaxed structure of MgCr2Os, computed with GGA-PBE.

* space group: P4mm (99)
* calculated formation energy: 0.9 eV per formula unit

abc: 2.992 2.992 6.396
angles: 90.00 90.00 90.00
Sites, in units of the cell vectors:
Mg1 0.000 0.000 0.000
Cr1 0.000 0.000 0.499
Cr2 0.500 0.500 0.707
Os1 0.500 0.500 0.273


Entry 13:
A relaxed structure of RbZn2SnRu, computed with GGA-PBE.

* space group: P4/mmm (123)
* calculated formation energy: -0.1 eV per formula unit

abc: 5.058 5.058 5.052
angles: 90.00 90.00 90.00
Sites, in units of the cell vectors:
Rb1 0.000 0.000 0.000
Zn1 0.000 0.500 0.500
Zn2 0.500 0.000 0.500
Sn1 0.500 0.500 0.000
Ru1 0.500 0.500 0.500


Entry 14:
A relaxed structure of ScCrTe2Cl, computed with GGA-PBE.

* space group: P4/mmm (123)
* uncorrected formation energy: -0.084 eV/atom

abc: 4.919 4.919 5.264
angles: 90.00 90.00 90.00
Sites, in units of the cell vectors:
Sc1 0.000 0.000 0.000
Cr1 0.000 0.000 0.500
Te1 0.000 0.500 0.500
Te2 0.500 0.000 0.500
Cl1 0.500 0.500 0.000


Entry 15:
A relaxed structure of Pm2CuHPd6, computed with GGA-PBE.

* space group: P-1 (2)

abc: 5.748 5.755 6.829
angles: 65.35 65.14 60.10
Sites, in units of the cell vectors:
Pm1 0.224 0.226 0.326
Pm2 0.776 0.774 0.674
Cu1 0.500 0.500 0.500
H1 0.000 0.000 0.000
Pd1 0.229 0.728 0.813
Pd2 0.230 0.228 0.810
Pd3 0.271 0.772 0.188
Pd4 0.729 0.228 0.812
Pd5 0.770 0.772 0.190
Pd6 0.771 0.272 0.187


Entry 16:
A relaxed structure of Cs2NpInTe4, computed with GGA-PBE.

* space group: I-42m (121)
* uncorrected formation energy: -0.699 eV/atom

abc: 7.681 7.681 7.681
angles: 104.87 104.87 119.14
Sites, in units of the cell vectors:
Cs1 0.000 0.500 0.500
Cs2 0.500 0.000 0.500
Np1 0.000 0.000 0.000
In1 0.500 0.500 0.000
Te1 0.100 0.100 0.663
Te2 0.437 0.437 0.337
Te3 0.563 0.900 0.000
Te4 0.900 0.563 0.000


Entry 17:
A relaxed structure of LiLa2H, computed with GGA-PBE.

* space group: R3m (160)

abc: 9.164 9.164 9.164
angles: 22.77 22.77 22.77
Sites, in units of the cell vectors:
Li1 0.000 0.000 0.000
La1 0.224 0.224 0.224
La2 0.444 0.444 0.444
H1 0.834 0.834 0.834


Entry 18:
A relaxed structure of RhBr3, computed with GGA-PBE.

* space group: Imm2 (44)
* uncorrected formation energy: -0.035 eV/atom

abc: 6.600 6.600 6.600
angles: 149.73 70.06 118.52
Sites, in units of the cell vectors:
Rh1 0.000 0.000 0.000
Br1 0.290 0.639 0.651
Br2 0.720 0.220 0.500
Br3 0.988 0.639 0.349


Entry 19:
A relaxed structure of Ca2PdSCl, computed with GGA-PBE.

* space group: P4/mmm (123)
* uncorrected formation energy: -0.581 eV/atom

abc: 5.356 5.356 4.941
angles: 90.00 90.00 90.00
Sites, in units of the cell vectors:
Ca1 0.000 0.500 0.000
Ca2 0.500 0.000 0.000
Pd1 0.000 0.000 0.500
S1 0.500 0.500 0.000
Cl1 0.500 0.500 0.500


Entry 20:
A relaxed structure of KNiPt2, computed with GGA-PBE.

* space group: Pmmm (47)
* calculated formation energy: 1.8 eV per formula unit

abc: 2.754 4.940 5.078
angles: 90.00 90.00 90.00
Sites, in units of the cell vectors:
K1 0.000 0.000 0.000
Ni1 0.500 0.500 0.000
Pt1 0.000 0.500 0.500
Pt2 0.500 0.000 0.500


Entry 21:
A relaxed structure of Cu2B2Pb, computed with GGA-PBE.

* space group: I4/mmm (139)
* calculated formation energy: 3.0 eV per formula unit

abc: 5.202 5.202 5.202
angles: 137.25 137.25 62.05
Sites, in units of the cell vectors:
Cu1 0.250 0.750 0.500
Cu2 0.750 0.250 0.500
B1 0.096 0.096 0.000
B2 0.904 0.904 0.000
Pb1 0.500 0.500 0.000


Entry 22:
A relaxed structure of Rb2RhAuI6, computed with GGA-PBE.

* space group: I4/mmm (139)
* uncorrected formation energy: -0.609 eV/atom

abc: 8.135 8.135 8.135
angles: 121.24 121.24 87.86
Sites, in units of the cell vectors:
Rb1 0.250 0.750 0.500
Rb2 0.750 0.250 0.500
Rh1 0.000 0.000 0.000
Au1 0.500 0.500 0.000
I1 0.233 0.233 0.000
I2 0.244 0.244 0.488
I3 0.244 0.756 0.000
I4 0.756 0.244 0.000
I5 0.756 0.756 0.512
I6 0.767 0.767 0.000


Entry 23:
A relaxed structure of Nd5AgAu4, computed with GGA-PBE.

* space group: P4/mmm (123)
* calculated formation energy: -6.7 eV per formula unit

abc: 3.704 3.704 18.825
angles: 90.00 90.00 90.00
Sites, in units of the cell vectors:
Nd1 0.000 0.000 0.000
Nd2 0.000 0.000 0.199
Nd3 0.000 0.000 0.397
Nd4 0.000 0.000 0.603
Nd5 0.000 0.000 0.801
Ag1 0.500 0.500 0.500
Au1 0.500 0.500 0.100
Au2 0.500 0.500 0.301
Au3 0.500 0.500 0.699
Au4 0.500 0.500 0.900


Entry 24:
A relaxed structure of ZrCrCl6, computed with GGA-PBE.

* space group: R-3 (148)
* uncorrected formation energy: -1.404 eV/atom

abc: 6.779 6.779 6.779
angles: 55.85 55.85 55.85
Sites, in units of the cell vectors:
Zr1 0.000 0.000 0.000
Cr1 0.500 0.500 0.500
Cl1 0.109 0.750 0.393
Cl2 0.250 0.607 0.891
Cl3 0.393 0.109 0.750
Cl4 0.607 0.891 0.250
Cl5 0.750 0.393 0.109
Cl6 0.891 0.250 0.607


Entry 25:
A relaxed structure of AcPrNiPd, computed with GGA-PBE.

* space group: Amm2 (38)
* calculated formation energy: -2.1 eV per formula unit

abc: 4.552 5.917 5.917
angles: 39.88 90.00 90.00
Sites, in units of the cell vectors:
Ac1 0.000 0.000 0.000
Pr1 0.500 0.727 0.727
Ni1 0.000 0.278 0.278
Pd1 0.500 0.437 0.437


| no. | raw total energy (eV/atom) |
| --- | --- |
| 1 | -4.616 |
| 2 | -4.903 |
| 3 | -5.621 |
| 4 | -1.935 |
| 5 | -4.479 |
| 6 | -4.278 |
| 7 | -2.168 |
| 8 | -2.682 |
| 9 | -2.447 |
| 10 | -4.992 |
| 11 | -4.902 |
| 12 | -7.802 |
| 13 | -3.380 |
| 14 | -4.901 |
| 15 | -5.395 |
| 16 | -4.443 |
| 17 | -3.878 |
| 18 | -3.128 |
| 19 | -3.615 |
| 20 | -4.290 |
| 21 | -4.443 |
| 22 | -2.795 |
| 23 | -4.646 |
| 24 | -5.060 |
| 25 | -5.478 |